No. 1
VASP calculation (PBE) on an optimized crystal structure of CaLaPrEr.

It has space group P4mm (No. 99), with a = 3.6903 Å, b = 3.6903 Å, c = 10.6188 Å, α = 90.00°, β = 90.00° and γ = 90.00°. The inequivalent atoms are Ca at (0.0000, 0.0000, 0.0000), La at (0.5000, 0.5000, 0.7296), Pr at (0.5000, 0.5000, 0.2634) and Er at (0.0000, 0.0000, 0.4940).

As for the crystal system: tetragonal. As for the density of states at the Fermi level: 1.663 states/eV/atom. The value obtained for the formation energy from the elements is 0.19 eV/f.u.

---

No. 2
VASP calculation (PBE) on an optimized crystal structure of CaLaPrEr.

It has space group F-43m (No. 216), with a = 8.3231 Å, b = 8.3231 Å, c = 8.3231 Å, α = 90.00°, β = 90.00° and γ = 90.00°. The inequivalent atoms are Ca at (0.0000, 0.0000, 0.0000), La at (0.2500, 0.2500, 0.2500), Pr at (0.2500, 0.2500, 0.7500) and Er at (0.0000, 0.0000, 0.5000).

As for the crystal system: cubic. As for the density of states at the Fermi level: 1.513 states/eV/atom. The value obtained for the formation energy from the elements is 0.41 eV/f.u.

---

No. 3
VASP calculation (PBE) on an optimized crystal structure of CaLa2ErS4.

It has space group P2/m (No. 10), with a = 6.9758 Å, b = 4.0131 Å, c = 7.0859 Å, α = 90.00°, β = 108.95° and γ = 90.00°. The inequivalent atoms are Ca at (0.0000, 0.0000, 0.0000), La at (0.0000, 0.5000, 0.5000), La at (0.5000, 0.0000, 0.5000), Er at (0.5000, 0.5000, 0.0000), S at (0.2490, 0.5000, 0.2321) and S at (0.2611, 0.0000, 0.7716).

As for the crystal system: monoclinic. As for the density of states at the Fermi level: 0.463 states/eV/atom. For the raw formation energy, the calculation gives -2.08 eV/atom.

---

No. 4
VASP calculation (PBE) on an optimized crystal structure of CaLaEr4S8.

It has space group R3m (No. 160, hexagonal axes), with a = 8.0436 Å, b = 8.0436 Å, c = 20.2071 Å, α = 90.00°, β = 90.00° and γ = 120.00°. The inequivalent atoms are Ca at (0.0000, 0.0000, 0.0000), La at (0.0000, 0.0000, 0.6277), Er at (0.0000, 0.0000, 0.2522), Er at (0.1691, 0.3383, 0.4590), S at (0.0000, 0.0000, 0.3844), S at (0.0000, 0.0000, 0.8652), S at (0.0213, 0.5106, 0.3848) and S at (0.1723, 0.3445, 0.2025).

As for the crystal system: trigonal. As for the density of states at the Fermi level: 0.239 states/eV/atom. For the raw formation energy, the calculation gives -2.00 eV/atom.

---

No. 5
VASP calculation (PBE) on an optimized crystal structure of Ca2LaErS4.

It has space group P2/m (No. 10), with a = 6.9505 Å, b = 3.9979 Å, c = 7.0108 Å, α = 90.00°, β = 109.14° and γ = 90.00°. The inequivalent atoms are Ca at (0.0000, 0.0000, 0.0000), Ca at (0.5000, 0.5000, 0.0000), La at (0.0000, 0.5000, 0.5000), Er at (0.5000, 0.0000, 0.5000), S at (0.2622, 0.5000, 0.2537) and S at (0.2637, 0.0000, 0.7548).

As for the crystal system: monoclinic. As for the density of states at the Fermi level: 0.453 states/eV/atom. For the raw formation energy, the calculation gives -2.06 eV/atom.

---

No. 6
VASP calculation (PBE) on an optimized crystal structure of CaLaEr2Sb4.

It has space group P2/m (No. 10), with a = 7.6820 Å, b = 4.4494 Å, c = 7.8269 Å, α = 90.00°, β = 109.15° and γ = 90.00°. The inequivalent atoms are Ca at (0.0000, 0.0000, 0.0000), La at (0.5000, 0.5000, 0.0000), Er at (0.0000, 0.5000, 0.5000), Er at (0.5000, 0.0000, 0.5000), Sb at (0.2430, 0.0000, 0.7343) and Sb at (0.2539, 0.5000, 0.2651).

As for the crystal system: monoclinic. As for the density of states at the Fermi level: 0.491 states/eV/atom. For the raw formation energy, the calculation gives -1.05 eV/atom.

---

No. 7
VASP calculation (PBE) on an optimized crystal structure of CaLaErSc.

It has space group F-43m (No. 216), with a = 8.0494 Å, b = 8.0494 Å, c = 8.0494 Å, α = 90.00°, β = 90.00° and γ = 90.00°. The inequivalent atoms are Ca at (0.0000, 0.0000, 0.0000), La at (0.2500, 0.2500, 0.2500), Er at (0.2500, 0.2500, 0.7500) and Sc at (0.0000, 0.0000, 0.5000).

As for the crystal system: cubic. As for the density of states at the Fermi level: 1.639 states/eV/atom. The value obtained for the formation energy from the elements is 0.61 eV/f.u.

---

No. 8
VASP calculation (PBE) on an optimized crystal structure of Ca2LaErSe4.

It has space group P2/m (No. 10), with a = 7.2345 Å, b = 4.1637 Å, c = 7.3140 Å, α = 90.00°, β = 109.11° and γ = 90.00°. The inequivalent atoms are Ca at (0.0000, 0.0000, 0.0000), Ca at (0.5000, 0.5000, 0.0000), La at (0.0000, 0.5000, 0.5000), Er at (0.5000, 0.0000, 0.5000), Se at (0.2614, 0.5000, 0.2528) and Se at (0.2630, 0.0000, 0.7552).

As for the crystal system: monoclinic. As for the density of states at the Fermi level: 0.468 states/eV/atom. For the raw formation energy, the calculation gives -1.90 eV/atom.

---

No. 9
VASP calculation (PBE) on an optimized crystal structure of CaLaEr2Se4.

It has space group P2/m (No. 10), with a = 7.1984 Å, b = 4.1170 Å, c = 7.1988 Å, α = 90.00°, β = 109.04° and γ = 90.00°. The inequivalent atoms are Ca at (0.0000, 0.0000, 0.0000), La at (0.0000, 0.5000, 0.5000), Er at (0.5000, 0.0000, 0.5000), Er at (0.5000, 0.5000, 0.0000), Se at (0.2628, 0.5000, 0.2484) and Se at (0.2665, 0.0000, 0.7625).

As for the crystal system: monoclinic. As for the density of states at the Fermi level: 0.422 states/eV/atom. For the raw formation energy, the calculation gives -1.84 eV/atom.

---

No. 10
VASP calculation (PBE) on an optimized crystal structure of CaLa2ErSe4.

It has space group P2/m (No. 10), with a = 7.2603 Å, b = 4.1788 Å, c = 7.3741 Å, α = 90.00°, β = 108.96° and γ = 90.00°. The inequivalent atoms are Ca at (0.0000, 0.0000, 0.0000), La at (0.0000, 0.5000, 0.5000), La at (0.5000, 0.0000, 0.5000), Er at (0.5000, 0.5000, 0.0000), Se at (0.2486, 0.5000, 0.2330) and Se at (0.2600, 0.0000, 0.7703).

As for the crystal system: monoclinic. As for the density of states at the Fermi level: 0.498 states/eV/atom. For the raw formation energy, the calculation gives -1.91 eV/atom.

---

No. 11
VASP calculation (PBE) on an optimized crystal structure of CaLa3Sm6Er2.

It has space group Immm (No. 71), with a = 5.1549 Å, b = 10.4175 Å, c = 15.4714 Å, α = 90.00°, β = 90.00° and γ = 90.00°. The inequivalent atoms are Ca at (0.0000, 0.0000, 0.0000), La at (0.0000, 0.5000, 0.0000), La at (0.0000, 0.5000, 0.3278), Sm at (0.0000, 0.2393, 0.5000), Sm at (0.0000, 0.2541, 0.1693) and Er at (0.0000, 0.0000, 0.3321).

As for the crystal system: orthorhombic. As for the density of states at the Fermi level: 1.687 states/eV/atom. The value obtained for the formation energy from the elements is 0.54 eV/f.u.

---

No. 12
VASP calculation (PBE) on an optimized crystal structure of CaLa4Er3Te8.

It has space group R-3m (No. 166, hexagonal axes), with a = 8.8741 Å, b = 8.8741 Å, c = 22.2257 Å, α = 90.00°, β = 90.00° and γ = 120.00°. The inequivalent atoms are Ca at (0.0000, 0.0000, 0.0000), La at (0.0000, 0.0000, 0.5000), La at (0.0000, 0.5000, 0.5000), Er at (0.0000, 0.5000, 0.0000), Te at (0.0000, 0.0000, 0.2566) and Te at (0.0031, 0.5015, 0.2561).

As for the crystal system: trigonal. As for the density of states at the Fermi level: 0.631 states/eV/atom. For the raw formation energy, the calculation gives -1.45 eV/atom.

---

No. 13
VASP calculation (PBE) on an optimized crystal structure of CaLa2ErTe4.

It has space group P2/m (No. 10), with a = 7.7419 Å, b = 4.4562 Å, c = 7.8563 Å, α = 90.00°, β = 108.97° and γ = 90.00°. The inequivalent atoms are Ca at (0.0000, 0.0000, 0.0000), La at (0.0000, 0.5000, 0.5000), La at (0.5000, 0.0000, 0.5000), Er at (0.5000, 0.5000, 0.0000), Te at (0.2488, 0.5000, 0.2351) and Te at (0.2591, 0.0000, 0.7677).

As for the crystal system: monoclinic. As for the density of states at the Fermi level: 0.571 states/eV/atom. For the raw formation energy, the calculation gives -1.50 eV/atom.

---

No. 14
VASP calculation (PBE) on an optimized crystal structure of Ca3LaEr3Te8.

It has space group R-3m (No. 166, hexagonal axes), with a = 8.7766 Å, b = 8.7766 Å, c = 21.8945 Å, α = 90.00°, β = 90.00° and γ = 120.00°. The inequivalent atoms are Ca at (0.0000, 0.5000, 0.0000), La at (0.0000, 0.0000, 0.5000), Er at (0.0000, 0.5000, 0.5000), Te at (0.0000, 0.0000, 0.2472) and Te at (0.0170, 0.5085, 0.7497).

As for the crystal system: trigonal. As for the density of states at the Fermi level: 0.330 states/eV/atom. For the raw formation energy, the calculation gives -1.48 eV/atom.

---

No. 15
VASP calculation (PBE) on an optimized crystal structure of Ca2LaErTe4.

It has space group P2/m (No. 10), with a = 7.7195 Å, b = 4.4454 Å, c = 7.8333 Å, α = 90.00°, β = 109.09° and γ = 90.00°. The inequivalent atoms are Ca at (0.0000, 0.0000, 0.0000), Ca at (0.5000, 0.5000, 0.0000), La at (0.0000, 0.5000, 0.5000), Er at (0.5000, 0.0000, 0.5000), Te at (0.2607, 0.5000, 0.2531) and Te at (0.2617, 0.0000, 0.7542).

As for the crystal system: monoclinic. As for the density of states at the Fermi level: 0.488 states/eV/atom. For the raw formation energy, the calculation gives -1.50 eV/atom.

---

No. 16
VASP calculation (PBE) on an optimized crystal structure of CaLaEr2Tl4.

It has space group R-3m (No. 166, hexagonal axes), with a = 5.4286 Å, b = 5.4286 Å, c = 26.9524 Å, α = 90.00°, β = 90.00° and γ = 120.00°. The inequivalent atoms are Ca at (0.0000, 0.0000, 0.0000), La at (0.0000, 0.0000, 0.5000), Er at (0.0000, 0.0000, 0.2523), Tl at (0.0000, 0.0000, 0.1237) and Tl at (0.0000, 0.0000, 0.3736).

As for the crystal system: trigonal. As for the density of states at the Fermi level: 0.648 states/eV/atom. The value obtained for the formation energy from the elements is -2.91 eV/f.u.

---

No. 17
VASP calculation (PBE) on an optimized crystal structure of Ca2LaErTl4.

It has space group R-3m (No. 166, hexagonal axes), with a = 5.4876 Å, b = 5.4876 Å, c = 27.0596 Å, α = 90.00°, β = 90.00° and γ = 120.00°. The inequivalent atoms are Ca at (0.0000, 0.0000, 0.2488), La at (0.0000, 0.0000, 0.0000), Er at (0.0000, 0.0000, 0.5000), Tl at (0.0000, 0.0000, 0.1272) and Tl at (0.0000, 0.0000, 0.3784).

As for the crystal system: trigonal. As for the density of states at the Fermi level: 0.924 states/eV/atom. The value obtained for the formation energy from the elements is -3.11 eV/f.u.

---

No. 18
VASP calculation (PBE) on an optimized crystal structure of CaLaErTm.

It has space group F-43m (No. 216), with a = 8.1963 Å, b = 8.1963 Å, c = 8.1963 Å, α = 90.00°, β = 90.00° and γ = 90.00°. The inequivalent atoms are Ca at (0.0000, 0.0000, 0.0000), La at (0.2500, 0.2500, 0.7500), Er at (0.2500, 0.2500, 0.2500) and Tm at (0.0000, 0.0000, 0.5000).

As for the crystal system: cubic. As for the density of states at the Fermi level: 1.600 states/eV/atom. The value obtained for the formation energy from the elements is 0.54 eV/f.u.

---

No. 19
VASP calculation (PBE) on an optimized crystal structure of LiCaEr2.

It has space group P4/mmm (No. 123), with a = 3.6595 Å, b = 3.6595 Å, c = 8.9732 Å, α = 90.00°, β = 90.00° and γ = 90.00°. The inequivalent atoms are Li at (0.0000, 0.0000, 0.0000), Ca at (0.0000, 0.0000, 0.5000) and Er at (0.5000, 0.5000, 0.1976).

As for the crystal system: tetragonal. As for the density of states at the Fermi level: 1.676 states/eV/atom. The value obtained for the formation energy from the elements is 0.68 eV/f.u.

---

No. 20
VASP calculation (PBE) on an optimized crystal structure of LiCa2Er.

It has space group R3m (No. 160, hexagonal axes), with a = 3.6978 Å, b = 3.6978 Å, c = 34.5580 Å, α = 90.00°, β = 90.00° and γ = 120.00°. The inequivalent atoms are Li at (0.0000, 0.0000, 0.0000), Ca at (0.0000, 0.0000, 0.4142), Ca at (0.0000, 0.0000, 0.5857) and Er at (0.0000, 0.0000, 0.1663).

As for the crystal system: trigonal. As for the density of states at the Fermi level: 1.101 states/eV/atom. The value obtained for the formation energy from the elements is 0.49 eV/f.u.

---

No. 21
VASP calculation (PBE) on an optimized crystal structure of Li4CaEr.

It has space group F-43m (No. 216), with a = 8.4699 Å, b = 8.4699 Å, c = 8.4699 Å, α = 90.00°, β = 90.00° and γ = 90.00°. The inequivalent atoms are Li at (0.1254, 0.1254, 0.1254), Ca at (0.2500, 0.2500, 0.7500) and Er at (0.0000, 0.0000, 0.5000).

As for the crystal system: cubic. As for the density of states at the Fermi level: 1.263 states/eV/atom. The value obtained for the formation energy from the elements is 0.57 eV/f.u.

---

No. 22
VASP calculation (PBE) on an optimized crystal structure of LiCa2Er.

It has space group R-3m (No. 166, hexagonal axes), with a = 3.5649 Å, b = 3.5649 Å, c = 37.5121 Å, α = 90.00°, β = 90.00° and γ = 120.00°. The inequivalent atoms are Li at (0.0000, 0.0000, 0.0000), Ca at (0.0000, 0.0000, 0.4092) and Er at (0.0000, 0.0000, 0.5000).

As for the crystal system: trigonal. As for the density of states at the Fermi level: 1.138 states/eV/atom. The value obtained for the formation energy from the elements is 1.11 eV/f.u.

---

No. 23
VASP calculation (PBE) on an optimized crystal structure of LiCaEr.

It has space group P3m1 (No. 156), with a = 3.5625 Å, b = 3.5625 Å, c = 8.5278 Å, α = 90.00°, β = 90.00° and γ = 120.00°. The inequivalent atoms are Li at (0.0000, 0.0000, 0.0000), Ca at (0.6667, 0.3333, 0.3350) and Er at (0.3333, 0.6667, 0.6922).

As for the crystal system: trigonal. As for the density of states at the Fermi level: 1.163 states/eV/atom. The value obtained for the formation energy from the elements is 0.53 eV/f.u.

---

No. 24
VASP calculation (PBE) on an optimized crystal structure of LiCaEr2.

It has space group R-3m (No. 166, hexagonal axes), with a = 3.4340 Å, b = 3.4340 Å, c = 36.1140 Å, α = 90.00°, β = 90.00° and γ = 120.00°. The inequivalent atoms are Li at (0.0000, 0.0000, 0.0000), Ca at (0.0000, 0.0000, 0.5000) and Er at (0.0000, 0.0000, 0.4072).

As for the crystal system: trigonal. As for the density of states at the Fermi level: 1.304 states/eV/atom. The value obtained for the formation energy from the elements is 1.19 eV/f.u.

---

No. 25
VASP calculation (PBE) on an optimized crystal structure of LiCa2Er.

It has space group P4/mmm (No. 123), with a = 4.0525 Å, b = 4.0525 Å, c = 8.0592 Å, α = 90.00°, β = 90.00° and γ = 90.00°. The inequivalent atoms are Li at (0.0000, 0.0000, 0.0000), Ca at (0.5000, 0.5000, 0.2355) and Er at (0.0000, 0.0000, 0.5000).

As for the crystal system: tetragonal. As for the density of states at the Fermi level: 0.700 states/eV/atom. The value obtained for the formation energy from the elements is 0.45 eV/f.u.

---

No. 26
VASP calculation (PBE) on an optimized crystal structure of LiCaEr.

It has space group I4mm (No. 107), with a = 3.7125 Å, b = 3.7125 Å, c = 13.1342 Å, α = 90.00°, β = 90.00° and γ = 90.00°. The inequivalent atoms are Li at (0.0000, 0.0000, 0.0000), Ca at (0.0000, 0.0000, 0.3445) and Er at (0.0000, 0.0000, 0.6417).

As for the crystal system: tetragonal. As for the density of states at the Fermi level: 1.163 states/eV/atom. The value obtained for the formation energy from the elements is 0.43 eV/f.u.